The following is a DFT calculation (GGA-PBE) of crystalline CaDy2Sc at its relaxed geometry.

Unit cell a=7.929 b=7.929 c=7.929 alpha=90.00 beta=90.00 gamma=90.00
Space group Fm-3m (No. 225)
Asymmetric unit:
Ca  0.000  0.000  0.000 [4 per cell]
Dy  0.250  0.250  0.250 [8 per cell]
Sc  0.000  0.000  0.500 [4 per cell]

Output
E = -4.21 eV per atom
ΔE to the lowest computed polymorph = 106 meV/atom
V = 31.2 Å³ per atom
formation energy from the elements = 0.177 eV/atom